1.
VASP calculation (GGA-PBE) on a relaxed LiTiBiAu crystal.

abc: 4.792 4.792 4.792
angles: 60.00 60.00 60.00
Positions (direct):
Au: 0.000 0.000 0.000
Li: 0.750 0.750 0.750
Bi: 0.500 0.500 0.500
Ti: 0.250 0.250 0.250

Output
Its size of the total moment is 0.315 μB per atom. The value obtained for the density of states at the Fermi level is 1.30 states/eV/atom. The value obtained for the density is 9.83 g/cm3.

=====

2.
VASP calculation (GGA-PBE) on a relaxed LiUBiAu crystal.

abc: 5.123 5.123 5.123
angles: 60.00 60.00 60.00
Positions (direct):
Li: 0.000 0.000 0.000
Au: 0.750 0.750 0.750
U: 0.500 0.500 0.500
Bi: 0.250 0.250 0.250

Output
Its size of the total moment is 0.753 μB per atom. The value obtained for the density of states at the Fermi level is 1.64 states/eV/atom. The value obtained for the density is 11.37 g/cm3.

=====

3.
VASP calculation (GGA-PBE) on a relaxed LiYBiAu crystal.

abc: 5.122 5.122 5.122
angles: 60.00 60.00 60.00
Positions (direct):
Y: 0.750 0.750 0.750
Bi: 0.500 0.500 0.500
Au: 0.000 0.000 0.000
Li: 0.250 0.250 0.250

Output
Its size of the total moment is 0.000 μB per atom. The value obtained for the density of states at the Fermi level is 0.30 states/eV/atom. The value obtained for the density is 8.77 g/cm3.

=====

4.
VASP calculation (GGA-PBE) on a relaxed LiZrBiAu crystal.

abc: 4.938 4.938 4.938
angles: 60.00 60.00 60.00
Positions (direct):
Bi: 0.500 0.500 0.500
Li: 0.250 0.250 0.250
Zr: 0.750 0.750 0.750
Au: 0.000 0.000 0.000

Output
Its size of the total moment is 0.005 μB per atom. The value obtained for the density of states at the Fermi level is 0.89 states/eV/atom. The value obtained for the density is 9.83 g/cm3.

=====

5.
VASP calculation (GGA-PBE) on a relaxed LuBiAu crystal.

abc: 4.400 4.545 4.545
angles: 120.00 90.00 90.00
Positions (direct):
Bi: 0.714 0.667 0.333
Lu: 0.278 0.333 0.667
Au: 0.007 0.000 0.000

Output
Its size of the total moment is 0.000 μB per atom. The value obtained for the density of states at the Fermi level is 0.42 states/eV/atom. The value obtained for the density is 12.25 g/cm3.

=====

6.
VASP calculation (GGA-PBE) on a relaxed LuBiAu crystal.

abc: 3.600 3.600 6.400
angles: 106.33 106.33 90.00
Positions (direct):
Lu: 0.307 0.307 0.613
Au: 0.686 0.686 0.372
Bi: 0.008 0.008 0.015

Output
Its size of the total moment is 0.000 μB per atom. The value obtained for the density of states at the Fermi level is 0.57 states/eV/atom. The value obtained for the density is 12.68 g/cm3.

=====

7.
VASP calculation (GGA-PBE) on a relaxed NaLuBiAu crystal.

abc: 5.189 5.189 5.189
angles: 60.00 60.00 60.00
Positions (direct):
Lu: 0.000 0.000 0.000
Bi: 0.750 0.750 0.750
Au: 0.250 0.250 0.250
Na: 0.500 0.500 0.500

Output
Its size of the total moment is 0.000 μB per atom. The value obtained for the density of states at the Fermi level is 0.02 states/eV/atom. The value obtained for the density is 10.15 g/cm3.

=====

8.
VASP calculation (GGA-PBE) on a relaxed PmLuBiAu crystal.

abc: 5.313 5.313 5.313
angles: 60.00 60.00 60.00
Positions (direct):
Bi: 0.500 0.500 0.500
Au: 0.000 0.000 0.000
Lu: 0.750 0.750 0.750
Pm: 0.250 0.250 0.250

Output
Its size of the total moment is 0.265 μB per atom. The value obtained for the density of states at the Fermi level is 1.02 states/eV/atom. The value obtained for the density is 11.37 g/cm3.

=====

9.
VASP calculation (GGA-PBE) on a relaxed LuBiRhAu crystal.

abc: 4.907 4.907 4.907
angles: 60.00 60.00 60.00
Positions (direct):
Rh: 0.500 0.500 0.500
Lu: 0.250 0.250 0.250
Bi: 0.750 0.750 0.750
Au: 0.000 0.000 0.000

Output
Its size of the total moment is 0.000 μB per atom. The value obtained for the density of states at the Fermi level is 0.72 states/eV/atom. The value obtained for the density is 13.59 g/cm3.

=====

10.
VASP calculation (GGA-PBE) on a relaxed Mg3BiAu crystal.

abc: 4.511 7.400 7.662
angles: 110.69 90.00 90.00
Positions (direct):
Au: 0.196 0.792 0.894
Au: 0.695 0.630 0.660
Mg: 0.695 0.377 0.320
Mg: 0.696 0.694 0.064
Mg: 0.196 0.727 0.490
Mg: 0.195 0.393 0.660
Mg: 0.696 0.028 0.894
Mg: 0.195 0.044 0.234
Bi: 0.695 0.040 0.492
Bi: 0.195 0.381 0.062

Output
Its size of the total moment is 0.000 μB per atom. The value obtained for the density of states at the Fermi level is 0.21 states/eV/atom. The polymorph energy (0 for the lowest one) is 0 meV per atom. The value obtained for the density is 6.65 g/cm3.

=====

11.
VASP calculation (GGA-PBE) on a relaxed MgBiAu2 crystal.

abc: 3.480 3.480 7.044
angles: 90.00 90.00 90.00
Positions (direct):
Bi: 0.500 0.500 0.500
Au: 0.000 0.000 0.205
Au: 0.000 0.000 0.795
Mg: 0.500 0.500 0.000

Output
Its size of the total moment is 0.000 μB per atom. The value obtained for the density of states at the Fermi level is 0.30 states/eV/atom. The value obtained for the density is 12.21 g/cm3.

=====

12.
VASP calculation (GGA-PBE) on a relaxed Mg3BiAu crystal.

abc: 5.114 5.114 5.114
angles: 90.00 90.00 90.00
Positions (direct):
Mg: 0.500 0.000 0.000
Mg: 0.000 0.500 0.000
Mg: 0.000 0.000 0.500
Bi: 0.500 0.500 0.500
Au: 0.000 0.000 0.000

Output
Its size of the total moment is 0.000 μB per atom. The value obtained for the density of states at the Fermi level is 0.40 states/eV/atom. The polymorph energy (0 for the lowest one) is 165 meV per atom. The value obtained for the density is 5.95 g/cm3.

=====

Number 1: ΔE_f -0.2488 eV/atom. Number 2: ΔE_f -0.1636 eV/atom. Number 3: ΔE_f -0.6517 eV/atom. Number 4: ΔE_f -0.3140 eV/atom. Number 5: ΔE_f -0.5319 eV/atom. Number 6: ΔE_f -0.5501 eV/atom. Number 7: ΔE_f -0.5369 eV/atom. Number 8: ΔE_f -0.6067 eV/atom. Number 9: ΔE_f -0.4767 eV/atom. Number 10: ΔE_f -0.3200 eV/atom. Number 11: ΔE_f -0.3047 eV/atom. Number 12: ΔE_f -0.1555 eV/atom.